(1)
# GaSb2Pb, relaxed, DFT PBE
data_GaSb2Pb
_cell_length_a 4.117
_cell_length_b 4.117
_cell_length_c 22.959
_cell_angle_alpha 90.00
_cell_angle_beta 90.00
_cell_angle_gamma 120.00
_symmetry_space_group_name_H-M 'P 1'
_symmetry_Int_Tables_number 1
loop_
_symmetry_equiv_pos_as_xyz
'x,y,z'
loop_
_atom_site_label
_atom_site_type_symbol
_atom_site_fract_x
_atom_site_fract_y
_atom_site_fract_z
_atom_site_occupancy
Ga1 Ga 0.000 0.000 0.000 1
Ga2 Ga 0.333 0.667 0.667 1
Ga3 Ga 0.667 0.333 0.333 1
Sb1 Sb 0.000 0.000 0.404 1
Sb2 Sb 0.000 0.000 0.597 1
Sb3 Sb 0.333 0.667 0.071 1
Sb4 Sb 0.333 0.667 0.264 1
Sb5 Sb 0.667 0.333 0.737 1
Sb6 Sb 0.667 0.333 0.930 1
Pb1 Pb 0.000 0.000 0.167 1
Pb2 Pb 0.333 0.667 0.834 1
Pb3 Pb 0.667 0.333 0.501 1
# **ΔE to the lowest computed polymorph**: 27 meV per atom
# **Formation energy from raw total energies**: 0.30 eV per formula unit
# **Space group**: R3m (160)


(2)
# GaSb2Pb, relaxed, DFT PBE
data_GaSb2Pb
_cell_length_a 7.573
_cell_length_b 7.573
_cell_length_c 7.573
_cell_angle_alpha 90.00
_cell_angle_beta 90.00
_cell_angle_gamma 90.00
_symmetry_space_group_name_H-M 'P 1'
_symmetry_Int_Tables_number 1
loop_
_symmetry_equiv_pos_as_xyz
'x,y,z'
loop_
_atom_site_label
_atom_site_type_symbol
_atom_site_fract_x
_atom_site_fract_y
_atom_site_fract_z
_atom_site_occupancy
Ga1 Ga 0.000 0.000 0.000 1
Ga2 Ga 0.000 0.500 0.500 1
Ga3 Ga 0.500 0.000 0.500 1
Ga4 Ga 0.500 0.500 0.000 1
Sb1 Sb 0.250 0.250 0.250 1
Sb2 Sb 0.250 0.250 0.750 1
Sb3 Sb 0.250 0.750 0.250 1
Sb4 Sb 0.250 0.750 0.750 1
Sb5 Sb 0.750 0.250 0.250 1
Sb6 Sb 0.750 0.250 0.750 1
Sb7 Sb 0.750 0.750 0.250 1
Sb8 Sb 0.750 0.750 0.750 1
Pb1 Pb 0.000 0.000 0.500 1
Pb2 Pb 0.000 0.500 0.000 1
Pb3 Pb 0.500 0.000 0.000 1
Pb4 Pb 0.500 0.500 0.500 1
# **ΔE to the lowest computed polymorph**: 107 meV per atom
# **Formation energy from raw total energies**: 0.62 eV per formula unit
# **Space group**: Fm-3m (225)


(3)
# Ga2SbPb, relaxed, DFT PBE
data_Ga2SbPb
_cell_length_a 7.347
_cell_length_b 7.347
_cell_length_c 7.347
_cell_angle_alpha 90.00
_cell_angle_beta 90.00
_cell_angle_gamma 90.00
_symmetry_space_group_name_H-M 'P 1'
_symmetry_Int_Tables_number 1
loop_
_symmetry_equiv_pos_as_xyz
'x,y,z'
loop_
_atom_site_label
_atom_site_type_symbol
_atom_site_fract_x
_atom_site_fract_y
_atom_site_fract_z
_atom_site_occupancy
Ga1 Ga 0.250 0.250 0.250 1
Ga2 Ga 0.250 0.250 0.750 1
Ga3 Ga 0.250 0.750 0.250 1
Ga4 Ga 0.250 0.750 0.750 1
Ga5 Ga 0.750 0.250 0.250 1
Ga6 Ga 0.750 0.250 0.750 1
Ga7 Ga 0.750 0.750 0.250 1
Ga8 Ga 0.750 0.750 0.750 1
Sb1 Sb 0.000 0.000 0.000 1
Sb2 Sb 0.000 0.500 0.500 1
Sb3 Sb 0.500 0.000 0.500 1
Sb4 Sb 0.500 0.500 0.000 1
Pb1 Pb 0.000 0.000 0.500 1
Pb2 Pb 0.000 0.500 0.000 1
Pb3 Pb 0.500 0.000 0.000 1
Pb4 Pb 0.500 0.500 0.500 1
# **ΔE to the lowest computed polymorph**: 60 meV per atom
# **Formation energy from raw total energies**: 0.47 eV per formula unit
# **Space group**: Fm-3m (225)


(4)
# Ga3SbPb, relaxed, DFT PBE
data_Ga3SbPb
_cell_length_a 5.344
_cell_length_b 5.344
_cell_length_c 5.344
_cell_angle_alpha 90.00
_cell_angle_beta 90.00
_cell_angle_gamma 90.00
_symmetry_space_group_name_H-M 'P 1'
_symmetry_Int_Tables_number 1
loop_
_symmetry_equiv_pos_as_xyz
'x,y,z'
loop_
_atom_site_label
_atom_site_type_symbol
_atom_site_fract_x
_atom_site_fract_y
_atom_site_fract_z
_atom_site_occupancy
Ga1 Ga 0.000 0.000 0.500 1
Ga2 Ga 0.000 0.500 0.000 1
Ga3 Ga 0.500 0.000 0.000 1
Sb1 Sb 0.000 0.000 0.000 1
Pb1 Pb 0.500 0.500 0.500 1
# **ΔE to the lowest computed polymorph**: 0 meV per atom
# **Formation energy from raw total energies**: 2.45 eV per formula unit
# **Space group**: Pm-3m (221)


(5)
# Ga2SbPb2, relaxed, DFT PBE
data_Ga2SbPb2
_cell_length_a 7.615
_cell_length_b 7.615
_cell_length_c 4.586
_cell_angle_alpha 90.00
_cell_angle_beta 90.00
_cell_angle_gamma 90.00
_symmetry_space_group_name_H-M 'P 1'
_symmetry_Int_Tables_number 1
loop_
_symmetry_equiv_pos_as_xyz
'x,y,z'
loop_
_atom_site_label
_atom_site_type_symbol
_atom_site_fract_x
_atom_site_fract_y
_atom_site_fract_z
_atom_site_occupancy
Ga1 Ga 0.126 0.374 0.000 1
Ga2 Ga 0.374 0.874 0.000 1
Ga3 Ga 0.626 0.126 0.000 1
Ga4 Ga 0.874 0.626 0.000 1
Sb1 Sb 0.000 0.000 0.000 1
Sb2 Sb 0.500 0.500 0.000 1
Pb1 Pb 0.179 0.679 0.500 1
Pb2 Pb 0.321 0.179 0.500 1
Pb3 Pb 0.679 0.821 0.500 1
Pb4 Pb 0.821 0.321 0.500 1
# **ΔE to the lowest computed polymorph**: 0 meV per atom
# **Formation energy from raw total energies**: 0.38 eV per formula unit
# **Space group**: P4/mbm (127)


(6)
# Ga2SbPb, relaxed, DFT PBE
data_Ga2SbPb
_cell_length_a 3.786
_cell_length_b 3.786
_cell_length_c 6.977
_cell_angle_alpha 90.00
_cell_angle_beta 90.00
_cell_angle_gamma 90.00
_symmetry_space_group_name_H-M 'P 1'
_symmetry_Int_Tables_number 1
loop_
_symmetry_equiv_pos_as_xyz
'x,y,z'
loop_
_atom_site_label
_atom_site_type_symbol
_atom_site_fract_x
_atom_site_fract_y
_atom_site_fract_z
_atom_site_occupancy
Ga1 Ga 0.000 0.000 0.213 1
Ga2 Ga 0.000 0.000 0.787 1
Sb1 Sb 0.500 0.500 0.000 1
Pb1 Pb 0.500 0.500 0.500 1
# **ΔE to the lowest computed polymorph**: 0 meV per atom
# **Formation energy from raw total energies**: 0.23 eV per formula unit
# **Space group**: P4/mmm (123)


(7)
# Ga2SbPb2, relaxed, DFT PBE
data_Ga2SbPb2
_cell_length_a 8.991
_cell_length_b 8.991
_cell_length_c 3.368
_cell_angle_alpha 90.00
_cell_angle_beta 90.00
_cell_angle_gamma 90.00
_symmetry_space_group_name_H-M 'P 1'
_symmetry_Int_Tables_number 1
loop_
_symmetry_equiv_pos_as_xyz
'x,y,z'
loop_
_atom_site_label
_atom_site_type_symbol
_atom_site_fract_x
_atom_site_fract_y
_atom_site_fract_z
_atom_site_occupancy
Ga1 Ga 0.108 0.392 0.000 1
Ga2 Ga 0.392 0.892 0.000 1
Ga3 Ga 0.608 0.108 0.000 1
Ga4 Ga 0.892 0.608 0.000 1
Sb1 Sb 0.000 0.000 0.500 1
Sb2 Sb 0.500 0.500 0.500 1
Pb1 Pb 0.190 0.690 0.500 1
Pb2 Pb 0.310 0.190 0.500 1
Pb3 Pb 0.690 0.810 0.500 1
Pb4 Pb 0.810 0.310 0.500 1
# **ΔE to the lowest computed polymorph**: 47 meV per atom
# **Formation energy from raw total energies**: 0.61 eV per formula unit
# **Space group**: P4/mbm (127)


(8)
# GaSbPb3, relaxed, DFT PBE
data_GaSbPb3
_cell_length_a 5.482
_cell_length_b 5.482
_cell_length_c 5.482
_cell_angle_alpha 90.00
_cell_angle_beta 90.00
_cell_angle_gamma 90.00
_symmetry_space_group_name_H-M 'P 1'
_symmetry_Int_Tables_number 1
loop_
_symmetry_equiv_pos_as_xyz
'x,y,z'
loop_
_atom_site_label
_atom_site_type_symbol
_atom_site_fract_x
_atom_site_fract_y
_atom_site_fract_z
_atom_site_occupancy
Ga1 Ga 0.000 0.000 0.000 1
Sb1 Sb 0.500 0.500 0.500 1
Pb1 Pb 0.000 0.000 0.500 1
Pb2 Pb 0.000 0.500 0.000 1
Pb3 Pb 0.500 0.000 0.000 1
# **ΔE to the lowest computed polymorph**: 0 meV per atom
# **Formation energy from raw total energies**: 1.73 eV per formula unit
# **Space group**: Pm-3m (221)